No. 1
DFT (PBE-GGA) results for Ac3Mg2Cd after structural relaxation.

a b c (Å): 4.1110 4.1110 12.2629
angles (deg): 90.00 90.00 90.00
Atoms (fractional coordinates):
Ac  0.0000  0.0000  0.0000
Ac  0.0000  0.0000  0.3351
Ac  0.0000  0.0000  0.6649
Mg  0.5000  0.5000  0.1652
Mg  0.5000  0.5000  0.8348
Cd  0.5000  0.5000  0.5000

Calculated values
Its formation energy is -0.1501 eV per atom. The value obtained for the size of the total moment is 0.00 μB/f.u. The density of states at the Fermi level is 7.68 states/eV per cell. Its energy above the most stable polymorph in this dataset is 4 meV/atom.



No. 2
DFT (PBE-GGA) results for AcMg2Cd after structural relaxation.

a b c (Å): 18.5214 7.9105 6.2500
angles (deg): 90.00 90.00 90.00
Atoms (fractional coordinates):
Ac  0.1040  0.2500  0.2245
Ac  0.1458  0.7500  0.4712
Ac  0.3542  0.2500  0.9712
Ac  0.3960  0.7500  0.7245
Ac  0.6040  0.2500  0.2755
Ac  0.6458  0.7500  0.0288
Ac  0.8542  0.2500  0.5288
Ac  0.8960  0.7500  0.7755
Mg  0.0327  0.0572  0.7293
Mg  0.0327  0.4428  0.7293
Mg  0.2160  0.5571  0.9580
Mg  0.2160  0.9429  0.9580
Mg  0.2840  0.0571  0.4580
Mg  0.2840  0.4429  0.4580
Mg  0.4673  0.5572  0.2293
Mg  0.4673  0.9428  0.2293
Mg  0.5327  0.0572  0.7707
Mg  0.5327  0.4428  0.7707
Mg  0.7160  0.5571  0.5420
Mg  0.7160  0.9429  0.5420
Mg  0.7840  0.0571  0.0420
Mg  0.7840  0.4429  0.0420
Mg  0.9673  0.5572  0.2707
Mg  0.9673  0.9428  0.2707
Cd  0.0718  0.7500  0.9810
Cd  0.1768  0.2500  0.7192
Cd  0.3232  0.7500  0.2192
Cd  0.4282  0.2500  0.4810
Cd  0.5718  0.7500  0.5190
Cd  0.6768  0.2500  0.7808
Cd  0.8232  0.7500  0.2808
Cd  0.9282  0.2500  0.0190

Calculated values
Its formation energy is -0.1736 eV per atom. The value obtained for the size of the total moment is 0.00 μB/f.u. The density of states at the Fermi level is 26.76 states/eV per cell. Its energy above the most stable polymorph in this dataset is 0 meV/atom.



No. 3
DFT (PBE-GGA) results for NaAcMgCd after structural relaxation.

a b c (Å): 5.4833 5.4833 5.4833
angles (deg): 60.00 60.00 60.00
Atoms (fractional coordinates):
Na  0.0000  0.0000  0.0000
Ac  0.2500  0.2500  0.2500
Mg  0.7500  0.7500  0.7500
Cd  0.5000  0.5000  0.5000

Calculated values
Its formation energy is -0.0689 eV per atom. The value obtained for the size of the total moment is 0.00 μB/f.u. The density of states at the Fermi level is 2.24 states/eV per cell.



No. 4
DFT (PBE-GGA) results for AcNdMgCd after structural relaxation.

a b c (Å): 3.9850 3.9850 7.9653
angles (deg): 90.00 90.00 90.00
Atoms (fractional coordinates):
Ac  0.0000  0.0000  0.0000
Nd  0.0000  0.0000  0.4978
Mg  0.5000  0.5000  0.7267
Cd  0.5000  0.5000  0.2761

Calculated values
Its formation energy is -0.1947 eV per atom. The value obtained for the size of the total moment is 0.00 μB/f.u. The density of states at the Fermi level is 5.19 states/eV per cell. Its energy above the most stable polymorph in this dataset is 0 meV/atom.